Model A:
MnAs2Cl after structural relaxation. Source: Alexandria via LeMat-Bulk, functional PBE.

Cell: 4.736 4.736 4.736 Å, 60.00 60.00 60.00°
Fractional positions:
As (0.000, 0.000, 0.000)
As (0.250, 0.250, 0.250)
Mn (0.750, 0.750, 0.750)
Cl (0.500, 0.500, 0.500)

## Properties
ρ (kg/m3): 5310
Size of the total moment (μB per formula unit): 4.28
Crystal system: cubic

---

Model B:
MnAs2Cl after structural relaxation. Source: Alexandria via LeMat-Bulk, functional PBE.

Cell: 3.358 5.529 5.528 Å, 49.18 90.00 90.00°
Fractional positions:
As (0.000, 0.564, 0.564)
As (0.000, 0.936, 0.936)
Cl (0.500, 0.250, 0.250)
Mn (0.500, 0.750, 0.750)

## Properties
ρ (kg/m3): 5136
Size of the total moment (μB per formula unit): 2.93
Crystal system: orthorhombic

---

Model C:
MnAs2Cl after structural relaxation. Source: Alexandria via LeMat-Bulk, functional PBE.

Cell: 8.998 8.998 8.998 Å, 22.97 22.97 22.97°
Fractional positions:
As (0.008, 0.008, 0.008)
As (0.284, 0.284, 0.284)
Mn (0.745, 0.745, 0.745)
Cl (0.464, 0.464, 0.464)

## Properties
ρ (kg/m3): 4096
Size of the total moment (μB per formula unit): 4.44
Crystal system: trigonal

---

Relative energy table, unit kJ/mol of atoms: model A 52.0; model B 0.0; model C 4.7